1.
Entry from Alexandria: an optimized crystal structure of BaCaPmMg (PBE).

abc: 6.007 6.007 6.007
angles: 60.00 60.00 60.00
Element x y z (fractional)
Mg: 0.000 0.000 0.000
Ca: 0.500 0.500 0.500
Ba: 0.750 0.750 0.750
Pm: 0.250 0.250 0.250

## Properties
**DOS at the Fermi energy**: 6.147 states/eV/cell
**E_form**: 2.7 kcal/mol of atoms

---

2.
Entry from Alexandria: an optimized crystal structure of BaCaPrMg (PBE).

abc: 6.042 6.042 6.042
angles: 60.00 60.00 60.00
Element x y z (fractional)
Pr: 0.250 0.250 0.250
Mg: 0.000 0.000 0.000
Ca: 0.500 0.500 0.500
Ba: 0.750 0.750 0.750

## Properties
**DOS at the Fermi energy**: 6.007 states/eV/cell
**E_form**: 2.3 kcal/mol of atoms

---

3.
Entry from Alexandria: an optimized crystal structure of BaCaMg2Pt (PBE).

abc: 5.284 5.284 5.516
angles: 90.00 90.00 90.00
Element x y z (fractional)
Mg: 0.500 0.000 0.000
Mg: 0.000 0.500 0.000
Pt: 0.000 0.000 0.000
Ca: 0.000 0.000 0.500
Ba: 0.500 0.500 0.500

## Properties
**DOS at the Fermi energy**: 3.198 states/eV/cell
**E_form**: -9.7 kcal/mol of atoms

---

4.
Entry from Alexandria: an optimized crystal structure of Ba2CaMgRh (PBE).

abc: 6.059 6.059 5.313
angles: 90.00 90.00 90.00
Element x y z (fractional)
Ca: 0.500 0.500 0.500
Mg: 0.000 0.000 0.500
Ba: 0.000 0.500 0.000
Ba: 0.500 0.000 0.000
Rh: 0.000 0.000 0.000

## Properties
**DOS at the Fermi energy**: 4.725 states/eV/cell
**E_form**: -1.4 kcal/mol of atoms
**Energy above the lowest structure with this stoichiometry**: 20.3 kJ/mol of formula units

---

5.
Entry from Alexandria: an optimized crystal structure of BaCa2MgRh (PBE).

abc: 5.566 5.566 5.984
angles: 90.00 90.00 90.00
Element x y z (fractional)
Ca: 0.000 0.500 0.000
Ca: 0.500 0.000 0.000
Rh: 0.000 0.000 0.000
Mg: 0.500 0.500 0.500
Ba: 0.000 0.000 0.500

## Properties
**DOS at the Fermi energy**: 3.039 states/eV/cell
**E_form**: -2.9 kcal/mol of atoms
**Energy above the lowest structure with this stoichiometry**: 42.4 kJ/mol of formula units

---

6.
Entry from Alexandria: an optimized crystal structure of BaCa2MgRh (PBE).

abc: 5.556 5.556 5.380
angles: 90.00 90.00 90.00
Element x y z (fractional)
Ca: 0.000 0.500 0.000
Ca: 0.500 0.000 0.000
Mg: 0.000 0.000 0.500
Ba: 0.500 0.500 0.500
Rh: 0.000 0.000 0.000

## Properties
**DOS at the Fermi energy**: 4.100 states/eV/cell
**E_form**: -4.9 kcal/mol of atoms
**Energy above the lowest structure with this stoichiometry**: 0.0 kJ/mol of formula units